(1)
# Sc2CrNi PBE relaxed
data_Sc2CrNi
_space_group_name_H-M_alt 'R -3 m'
_space_group_IT_number 166
_space_group_name_Hall '-R 3 2"'
_cell_length_a 3.1140
_cell_length_b 3.1140
_cell_length_c 25.1476
_cell_angle_alpha 90.00
_cell_angle_beta 90.00
_cell_angle_gamma 120.00
loop_
_atom_site_label
_atom_site_fract_x
_atom_site_fract_y
_atom_site_fract_z
_atom_site_occupancy
Sc1 0.0000 0.0000 0.2448 1
Cr1 0.0000 0.0000 0.0000 1
Ni1 0.0000 0.0000 0.5000 1
# * N(E_F): 13.88 states/eV per cell
# * energy of formation from the pure elements: 4.96 kcal/mol of atoms
# * E: -6.80 eV/atom
# * magnetic moment: 7.88 μB/cell



(2)
# ScCrNi2 PBE relaxed
data_ScCrNi2
_space_group_name_H-M_alt 'P m m m'
_space_group_IT_number 47
_cell_length_a 3.095
_cell_length_b 3.136
_cell_length_c 5.775
_cell_angle_alpha 90.00
_cell_angle_beta 90.00
_cell_angle_gamma 90.00
loop_
_space_group_symop_operation_xyz
'x,y,z'
'-x,-y,-z'
'-x,-y,z'
'x,y,-z'
'x,-y,-z'
'-x,y,z'
'-x,y,-z'
'x,-y,z'
loop_
_atom_site_label
_atom_site_fract_x
_atom_site_fract_y
_atom_site_fract_z
_atom_site_occupancy
Sc1 0.000 0.000 0.000 1
Cr1 0.000 0.000 0.500 1
Ni1 0.500 0.500 0.277 1
# * N(E_F): 3.79 states/eV per cell
# * energy of formation from the pure elements: -2.42 kcal/mol of atoms
# * excess energy over the best structure of this formula in the dataset: 5.2 kJ per mole of atoms
# * E: -6.98 eV/atom
# * magnetic moment: 3.46 μB/cell